Record 1
## La12Tl3Cd (PBE)

Data for a relaxed La12Tl3Cd crystal.

Cell: 5.083 5.083 20.203 Å, 90.00 90.00 90.00°
Element x y z (fractional)
La 0.000 0.000 0.000
La 0.000 0.000 0.249
La 0.000 0.000 0.500
La 0.000 0.000 0.751
La 0.000 0.500 0.125
La 0.000 0.500 0.375
La 0.000 0.500 0.625
La 0.000 0.500 0.875
La 0.500 0.000 0.125
La 0.500 0.000 0.375
La 0.500 0.000 0.625
La 0.500 0.000 0.875
Tl 0.500 0.500 0.249
Tl 0.500 0.500 0.500
Tl 0.500 0.500 0.751
Cd 0.500 0.500 0.000

- Energy: -4.41 eV per atom
- ΔH_f (0 K): -218 meV/atom
- DOS(E_F): 22.3 states/eV per cell

***

Record 2
## La3TlCd2 (PBE)

Data for a relaxed La3TlCd2 crystal.

Cell: 8.853 8.853 3.955 Å, 90.00 90.00 143.23°
Element x y z (fractional)
La 0.000 0.000 0.000
La 0.333 0.667 0.000
La 0.667 0.333 0.000
Tl 0.500 0.500 0.500
Cd 0.170 0.830 0.500
Cd 0.830 0.170 0.500

- Energy: -3.52 eV per atom
- ΔH_f (0 K): -360 meV/atom
- DOS(E_F): 8.3 states/eV per cell
- Energy above the lowest structure with this stoichiometry: 0.0 kJ per mole of atoms